[1]
DFT (GGA-PBE) results for crystalline TbTm5Sc4 at its relaxed geometry.

- Excess energy over the best structure of this formula in the dataset: 0.0 kJ/mol of atoms
- Final energy: -4.93 eV/atom
- Space-group type: Immm, No. 71
- N(E_F): 38.6 states/eV/cell
- ΔE_f: 0.30 eV per atom

abc: 5.351 11.117 9.958
angles: 90.00 90.00 90.00
Atoms (fractional coordinates):
Sc 0.250 0.500 0.252
Sc 0.250 0.308 0.500
Sc 0.750 0.192 0.000
Tm 0.750 0.299 0.698
Tm 0.250 0.201 0.198
Sc 0.750 0.000 0.248
Tm 0.750 0.701 0.302
Tm 0.250 0.201 0.802
Tm 0.250 0.000 0.500
Tm 0.750 0.500 0.000
Tm 0.250 0.799 0.802
Tm 0.750 0.299 0.302
Sc 0.750 0.000 0.752
Sc 0.750 0.808 0.000
Tm 0.750 0.701 0.698
Tm 0.250 0.799 0.198
Sc 0.250 0.500 0.748
Sc 0.250 0.692 0.500
Tb 0.750 0.500 0.500
Tb 0.250 0.000 0.000



[2]
DFT (GGA-PBE) results for crystalline Ta2SI2 at its relaxed geometry.

- Final energy: -6.44 eV/atom
- Space-group type: P-1, No. 2
- Formation energy from raw total energies: -0.255 eV/atom
- N(E_F): 1.8 states/eV/cell

abc: 3.630 4.162 10.265
angles: 85.28 79.96 64.12
Atoms (fractional coordinates):
I 0.743 0.726 0.792
I 0.257 0.274 0.208
Ta 0.850 0.896 0.403
S 0.500 0.500 0.500
Ta 0.150 0.104 0.597



[3]
DFT (GGA-PBE) results for crystalline NaScPbAu at its relaxed geometry.

- Final energy: -4.00 eV/atom
- Space-group type: F-43m, No. 216
- N(E_F): 2.9 states/eV/cell
- ΔE_f: -0.34 eV per atom

abc: 5.016 5.016 5.016
angles: 60.00 60.00 60.00
Atoms (fractional coordinates):
Au 0.000 0.000 0.000
Pb 0.500 0.500 0.500
Sc 0.250 0.250 0.250
Na 0.750 0.750 0.750



[4]
DFT (GGA-PBE) results for crystalline ScCdTe2 at its relaxed geometry.

- Final energy: -4.04 eV/atom
- Space-group type: R-3m, No. 166
- Formation energy from raw total energies: -0.658 eV/atom
- N(E_F): 3.6 states/eV/cell

abc: 9.315 9.315 9.315
angles: 26.05 26.05 26.05
Atoms (fractional coordinates):
Te 0.106 0.106 0.106
Te 0.894 0.894 0.894
Cd 0.000 0.000 0.000
Sc 0.500 0.500 0.500



[5]
DFT (GGA-PBE) results for crystalline PuNpSe2O at its relaxed geometry.

- Final energy: -9.69 eV/atom
- Space-group type: P4/nmm, No. 129
- Formation energy from raw total energies: -1.851 eV/atom
- N(E_F): 26.0 states/eV/cell

abc: 4.010 4.010 14.107
angles: 90.00 90.00 90.00
Site moments in Bohr magnetons follow the coordinates.
Atoms (fractional coordinates):
Se 0.000 0.500 0.096  -0.10
Pu 0.500 0.000 0.583  4.88
O 0.500 0.500 0.500  -0.14
Pu 0.000 0.500 0.417  4.88
Se 0.500 0.000 0.904  -0.10
Np 0.500 0.000 0.114  3.98
O 0.000 0.000 0.500  -0.14
Np 0.000 0.500 0.886  3.98
Se 0.500 0.000 0.310  -0.12
Se 0.000 0.500 0.690  -0.12



[6]
DFT (GGA-PBE) results for crystalline CeDy2Rh at its relaxed geometry.

- Excess energy over the best structure of this formula in the dataset: 33.9 kJ/mol of atoms
- Final energy: -5.74 eV/atom
- Space-group type: R-3m, No. 166
- N(E_F): 8.0 states/eV/cell
- ΔE_f: -0.11 eV per atom

abc: 3.515 3.515 10.692
angles: 80.54 80.54 60.00
Site moments in Bohr magnetons follow the coordinates.
Atoms (fractional coordinates):
Dy 0.892 0.892 0.323  0.01
Ce 0.000 0.000 0.000  0.88
Dy 0.108 0.108 0.677  0.01
Rh 0.500 0.500 0.500  0.00



[7]
DFT (GGA-PBE) results for crystalline ErPaSb at its relaxed geometry.

- Excess energy over the best structure of this formula in the dataset: 42.5 kJ/mol of atoms
- Final energy: -6.12 eV/atom
- Space-group type: P3m1, No. 156
- Formation energy from raw total energies: -0.061 eV/atom
- N(E_F): 5.8 states/eV/cell

abc: 3.434 5.248 5.248
angles: 120.00 90.00 90.00
Site moments in Bohr magnetons follow the coordinates.
Atoms (fractional coordinates):
Er 0.569 0.667 0.333  0.26
Pa 0.051 0.000 0.000  0.97
Sb 0.380 0.333 0.667  0.00



[8]
DFT (GGA-PBE) results for crystalline EuGdTlRu at its relaxed geometry.

- Final energy: -9.07 eV/atom
- Space-group type: F-43m, No. 216
- N(E_F): 5.5 states/eV/cell
- ΔE_f: -0.07 eV per atom

abc: 5.180 5.180 5.180
angles: 60.00 60.00 60.00
Site moments in Bohr magnetons follow the coordinates.
Atoms (fractional coordinates):
Ru 0.000 0.000 0.000  -0.16
Eu 0.250 0.250 0.250  6.74
Gd 0.750 0.750 0.750  -7.01
Tl 0.500 0.500 0.500  -0.01



Number 1: calculated density 6.6 g cm⁻³. Number 2: calculated density 7.8 g cm⁻³. Number 3: calculated density 8.8 g cm⁻³. Number 4: calculated density 5.0 g cm⁻³. Number 5: calculated density 9.6 g cm⁻³. Number 6: calculated density 8.4 g cm⁻³. Number 7: calculated density 10.5 g cm⁻³. Number 8: calculated density 10.4 g cm⁻³.